No. 1
First-principles (PBE) data for LuZrTcPd after structural relaxation, as listed in Alexandria.

Properties
Electronic total energy   -7.688 eV/atom

The structure in CIF format:
```
data_LuZrTcPd
_chemical_formula_sum 'Lu4 Zr4 Tc4 Pd4'
_cell_length_a 6.699
_cell_length_b 6.699
_cell_length_c 6.699
_cell_angle_alpha 90.00
_cell_angle_beta 90.00
_cell_angle_gamma 90.00
_space_group_name_H-M_alt 'F -4 3 m'
_space_group_IT_number 216
_space_group_name_Hall 'F -4 2 3'
loop_
_atom_site_label
_atom_site_type_symbol
_atom_site_fract_x
_atom_site_fract_y
_atom_site_fract_z
Lu1 Lu 0.000 0.000 0.000
Zr1 Zr 0.000 0.000 0.500
Tc1 Tc 0.250 0.250 0.250
Pd1 Pd 0.250 0.250 0.750
```

***

No. 2
First-principles (PBE) data for LuTePd2 after structural relaxation, as listed in Alexandria.

Properties
Formation energy (no corrections)   -0.71 eV/atom
Electronic total energy   -5.226 eV/atom

The structure in CIF format:
```
data_LuTePd2
_chemical_formula_sum 'Lu4 Te4 Pd8'
_cell_length_a 6.821
_cell_length_b 6.821
_cell_length_c 6.821
_cell_angle_alpha 90.00
_cell_angle_beta 90.00
_cell_angle_gamma 90.00
_space_group_name_H-M_alt 'F m -3 m'
_space_group_IT_number 225
_space_group_name_Hall '-F 4 2 3'
loop_
_atom_site_label
_atom_site_type_symbol
_atom_site_fract_x
_atom_site_fract_y
_atom_site_fract_z
Lu1 Lu 0.000 0.000 0.000
Te1 Te 0.000 0.000 0.500
Pd1 Pd 0.250 0.250 0.250
```

***

No. 3
First-principles (PBE) data for Lu7Te2Pd2 after structural relaxation, as listed in Alexandria.

Properties
Formation energy (no corrections)   -0.84 eV/atom
Electronic total energy   -5.231 eV/atom

The structure in CIF format:
```
data_Lu7Te2Pd2
_chemical_formula_sum 'Lu14 Te4 Pd4'
_cell_length_a 3.900
_cell_length_b 15.323
_cell_length_c 9.510
_cell_angle_alpha 90.00
_cell_angle_beta 90.00
_cell_angle_gamma 90.00
_space_group_name_H-M_alt 'I m m 2'
_space_group_IT_number 44
_space_group_name_Hall 'I 2 -2'
loop_
_atom_site_label
_atom_site_type_symbol
_atom_site_fract_x
_atom_site_fract_y
_atom_site_fract_z
Lu1 Lu 0.000 0.000 0.000
Lu2 Lu 0.000 0.131 0.417
Lu3 Lu 0.000 0.317 0.627
Lu4 Lu 0.000 0.357 0.268
Te1 Te 0.000 0.000 0.661
Te2 Te 0.000 0.500 0.767
Pd1 Pd 0.000 0.236 0.932
```

***

No. 4
First-principles (PBE) data for LuTePd after structural relaxation, as listed in Alexandria.

Properties
Formation energy (no corrections)   -0.77 eV/atom
Electronic total energy   -5.058 eV/atom

The structure in CIF format:
```
data_LuTePd
_chemical_formula_sum 'Lu2 Te2 Pd2'
_cell_length_a 3.842
_cell_length_b 3.842
_cell_length_c 9.207
_cell_angle_alpha 90.00
_cell_angle_beta 90.00
_cell_angle_gamma 90.00
_space_group_name_H-M_alt 'I 4 m m'
_space_group_IT_number 107
_space_group_name_Hall 'I 4 -2'
loop_
_atom_site_label
_atom_site_type_symbol
_atom_site_fract_x
_atom_site_fract_y
_atom_site_fract_z
Lu1 Lu 0.000 0.000 0.000
Te1 Te 0.000 0.000 0.339
Pd1 Pd 0.000 0.000 0.649
```

***

No. 5
First-principles (PBE) data for LuThPd after structural relaxation, as listed in Alexandria.

Properties
Energy relative to the lowest polymorph listed for this composition   0.0000 eV/atom
Electronic total energy   -6.197 eV/atom

The structure in CIF format:
```
data_LuThPd
_chemical_formula_sum 'Lu2 Th2 Pd2'
_cell_length_a 3.581
_cell_length_b 3.581
_cell_length_c 11.847
_cell_angle_alpha 90.00
_cell_angle_beta 90.00
_cell_angle_gamma 90.00
_space_group_name_H-M_alt 'I 4 m m'
_space_group_IT_number 107
_space_group_name_Hall 'I 4 -2'
loop_
_atom_site_label
_atom_site_type_symbol
_atom_site_fract_x
_atom_site_fract_y
_atom_site_fract_z
Lu1 Lu 0.000 0.000 0.000
Th1 Th 0.000 0.000 0.710
Pd1 Pd 0.000 0.000 0.364
```

***

No. 6
First-principles (PBE) data for LuTh2Pd after structural relaxation, as listed in Alexandria.

Properties
Energy relative to the lowest polymorph listed for this composition   0.3050 eV/atom
Electronic total energy   -6.104 eV/atom

The structure in CIF format:
```
data_LuTh2Pd
_chemical_formula_sum 'Lu3 Th6 Pd3'
_cell_length_a 3.4402
_cell_length_b 3.4402
_cell_length_c 33.4117
_cell_angle_alpha 90.00
_cell_angle_beta 90.00
_cell_angle_gamma 120.00
_space_group_name_H-M_alt 'R -3 m'
_space_group_IT_number 166
_space_group_name_Hall '-R 3 2"'
loop_
_atom_site_label
_atom_site_type_symbol
_atom_site_fract_x
_atom_site_fract_y
_atom_site_fract_z
Lu1 Lu 0.0000 0.0000 0.0000
Th1 Th 0.0000 0.0000 0.0982
Pd1 Pd 0.0000 0.0000 0.5000
```

***

No. 7
First-principles (PBE) data for LuThPd after structural relaxation, as listed in Alexandria.

Properties
Energy relative to the lowest polymorph listed for this composition   0.1724 eV/atom
Electronic total energy   -6.025 eV/atom

The structure in CIF format:
```
data_LuThPd
_chemical_formula_sum 'Lu1 Th1 Pd1'
_cell_length_a 4.8159
_cell_length_b 4.8159
_cell_length_c 3.8486
_cell_angle_alpha 90.00
_cell_angle_beta 90.00
_cell_angle_gamma 120.00
_space_group_name_H-M_alt 'P 3 m 1'
_space_group_IT_number 156
_space_group_name_Hall 'P 3 -2"'
loop_
_atom_site_label
_atom_site_type_symbol
_atom_site_fract_x
_atom_site_fract_y
_atom_site_fract_z
Lu1 Lu 0.0000 0.0000 0.0000
Th1 Th 0.6667 0.3333 0.5188
Pd1 Pd 0.3333 0.6667 0.1649
```

***

No. 8
First-principles (PBE) data for LuTh2Pd after structural relaxation, as listed in Alexandria.

Properties
Energy relative to the lowest polymorph listed for this composition   0.0000 eV/atom
Electronic total energy   -6.409 eV/atom

The structure in CIF format:
```
data_LuTh2Pd
_chemical_formula_sum 'Lu1 Th2 Pd1'
_cell_length_a 3.657
_cell_length_b 3.657
_cell_length_c 8.289
_cell_angle_alpha 90.00
_cell_angle_beta 90.00
_cell_angle_gamma 90.00
_space_group_name_H-M_alt 'P 4/m m m'
_space_group_IT_number 123
_space_group_name_Hall '-P 4 2'
loop_
_atom_site_label
_atom_site_type_symbol
_atom_site_fract_x
_atom_site_fract_y
_atom_site_fract_z
Lu1 Lu 0.000 0.000 0.000
Th1 Th 0.500 0.500 0.287
Pd1 Pd 0.000 0.000 0.500
```

***

Question: Which value of electronic total energy does entry 8 give?
Answer: -6.409 eV/atom